# 1
BaSrAg2 | GGA-PBE | relaxed

POSCAR file:
```
BaSrAg2
1.0
5.485 0.000 0.000
2.742 4.750 0.000
2.742 1.583 4.478
Ag Ba Sr
2 1 1
direct
0.000 0.000 0.000
0.250 0.250 0.250
0.500 0.500 0.500
0.750 0.750 0.750
```

energy of formation	0.011	eV per atom
distance to the lowest polymorph of the same formula	294	meV per atom

# 2
NaDy4US8 | GGA-PBE | relaxed

POSCAR file:
```
NaDy4US8
1.0
8.097 0.000 0.000
4.048 7.012 0.000
4.048 2.337 6.640
Na Dy U S
1 4 1 8
direct
0.375 0.375 0.876
0.626 0.626 0.122
0.005 0.489 0.502
0.489 0.005 0.502
0.005 0.005 0.502
0.003 0.003 0.991
0.239 0.784 0.739
0.784 0.239 0.739
0.239 0.239 0.739
0.239 0.239 0.282
0.756 0.227 0.261
0.227 0.756 0.261
0.756 0.756 0.261
0.759 0.759 0.724
```

E	-6.372	eV per atom

# 3
V12Sb3N5 | GGA-PBE | relaxed

POSCAR file:
```
V12Sb3N5
1.0
-6.884 -8.973 0.894
10.635 -3.139 2.398
-3.304 8.042 7.288
Sb N V
12 20 48
direct
0.750 0.375 0.125
0.875 0.750 0.125
0.375 0.750 0.625
0.250 0.125 0.375
0.875 0.125 0.250
0.375 0.625 0.250
0.625 0.375 0.750
0.125 0.875 0.750
0.750 0.875 0.625
0.625 0.250 0.375
0.125 0.250 0.875
0.250 0.625 0.875
0.125 0.375 0.250
0.000 0.500 0.000
0.000 0.000 0.000
0.375 0.250 0.125
0.500 0.000 0.500
0.500 0.500 0.000
0.125 0.750 0.375
0.750 0.125 0.875
0.750 0.625 0.375
0.375 0.125 0.750
0.625 0.875 0.250
0.500 0.500 0.500
0.500 0.000 0.000
0.000 0.000 0.500
0.250 0.375 0.625
0.250 0.875 0.125
0.000 0.500 0.500
0.875 0.250 0.625
0.625 0.750 0.875
0.875 0.625 0.750
0.684 0.089 0.997
0.313 0.497 0.408
0.003 0.411 0.316
0.497 0.184 0.089
0.595 0.684 0.687
0.003 0.592 0.187
0.313 0.816 0.405
0.092 0.905 0.089
0.592 0.003 0.687
0.684 0.595 0.187
0.816 0.503 0.411
0.813 0.908 0.997
0.089 0.684 0.497
0.411 0.408 0.095
0.095 0.908 0.411
0.405 0.089 0.592
0.095 0.187 0.184
0.503 0.687 0.092
0.813 0.905 0.316
0.089 0.405 0.092
0.411 0.003 0.816
0.592 0.589 0.405
0.908 0.813 0.497
0.816 0.313 0.905
0.408 0.411 0.595
0.092 0.187 0.503
0.184 0.687 0.095
0.187 0.095 0.684
0.589 0.997 0.184
0.911 0.595 0.908
0.497 0.313 0.908
0.595 0.911 0.408
0.905 0.813 0.816
0.905 0.092 0.589
0.911 0.316 0.503
0.187 0.092 0.003
0.589 0.592 0.905
0.408 0.997 0.313
0.316 0.405 0.813
0.184 0.497 0.589
0.908 0.095 0.911
0.687 0.184 0.595
0.503 0.816 0.911
0.997 0.408 0.813
0.405 0.316 0.313
0.997 0.589 0.684
0.687 0.503 0.592
0.316 0.911 0.003
```

E	-8.590	eV per atom

# 4
MgPdRu3 | GGA-PBE | relaxed

POSCAR file:
```
MgPdRu3
1.0
-1.835 -0.820 -4.326
4.236 -1.610 -1.491
-1.204 -4.415 1.348
Ru Mg Pd
3 1 1
direct
0.000 0.500 0.000
0.000 0.000 0.500
0.500 0.000 0.000
0.500 0.500 0.500
0.000 0.000 0.000
```

energy of formation	1.707	eV per atom
distance to the lowest polymorph of the same formula	0	meV per atom

# 5
Li2Tb5Bi5 | GGA-PBE | relaxed

POSCAR file:
```
Li2Tb5Bi5
1.0
4.436 0.000 0.000
-2.218 7.371 -0.506
0.000 -4.325 11.486
Li Tb Bi
2 5 5
direct
0.070 0.139 0.790
0.930 0.861 0.210
0.500 0.000 0.500
0.656 0.313 0.025
0.716 0.432 0.339
0.284 0.568 0.661
0.344 0.687 0.975
0.105 0.211 0.414
0.693 0.387 0.784
0.307 0.613 0.216
0.895 0.789 0.586
0.000 0.000 0.000
```

energy of formation	-0.625	eV per atom

# 6
BaCa2TmTl4 | GGA-PBE | relaxed

POSCAR file:
```
BaCa2TmTl4
1.0
-4.112 -1.212 3.471
1.074 -2.585 4.754
0.154 7.198 7.080
Ba Ca Tm Tl
1 2 1 4
direct
0.000 0.000 0.000
0.756 0.756 0.732
0.244 0.244 0.268
0.500 0.500 0.500
0.389 0.389 0.834
0.873 0.873 0.382
0.127 0.127 0.618
0.611 0.611 0.166
```

energy of formation	-0.365	eV per atom

# 7
PaBiTe2Se | GGA-PBE | relaxed

POSCAR file:
```
PaBiTe2Se
1.0
-4.123 -1.114 0.625
0.928 -1.159 4.053
-3.192 14.561 4.893
Pa Bi Te Se
2 2 4 2
direct
0.500 0.000 0.624
0.000 0.500 0.376
0.500 0.000 0.088
0.000 0.500 0.912
0.000 0.500 0.695
0.000 0.500 0.159
0.500 0.000 0.841
0.500 0.000 0.305
0.000 0.000 0.500
0.500 0.500 0.500
```

E	-5.231	eV per atom

# 8
TbNd2ScSe6 | GGA-PBE | relaxed

POSCAR file:
```
TbNd2ScSe6
1.0
-4.789 2.057 -5.066
-7.008 -1.803 0.679
-5.015 5.511 1.765
Tb Nd Sc Se
1 2 1 6
direct
0.819 0.819 0.543
0.522 0.522 0.434
0.020 0.020 0.939
0.321 0.321 0.036
0.588 0.204 0.256
0.203 0.952 0.256
0.952 0.588 0.256
0.436 0.693 0.765
0.693 0.105 0.765
0.105 0.436 0.765
```

E	-5.930	eV per atom